Material: W4Au
Method: DFT, PBE-GGA
State: optimized geometry

Computed properties:
- magnetization (μB/f.u.) = 0.00
- calculated total energy (eV/atom) = -10.00
- space group = I4/mmm (139)
- calculated density (Mg/m³) = 15.8
- energy above the most stable polymorph in this dataset (meV/atom) = 602
- N(E_F) (states/eV/f.u.) = 3.7

Cell: 6.4028 6.4028 6.4028 Å, 142.23 142.23 54.48°
Last column: nearest neighbours and their distance in Å.
Element x y z (fractional)
1 W 0.3838 0.3838 0.0000  5 W 2.57-2.65
2 W 0.7500 0.2500 0.5000  4 W 2.57
3 W 0.2500 0.7500 0.5000  4 W 2.57
4 W 0.6162 0.6162 0.0000  5 W 2.57-2.65
5 Au 0.0000 0.0000 0.0000  16 W 3.22-3.52

=====

Material: Mg2In
Method: DFT, PBE-GGA
State: optimized geometry

Computed properties:
- magnetization (μB/f.u.) = 0.00
- calculated total energy (eV/atom) = -2.06
- space group = Pmmn (59)
- calculated density (Mg/m³) = 3.9
- N(E_F) (states/eV/f.u.) = 1.2

Cell: 4.8995 8.4694 3.3509 Å, 90.00 90.00 90.00°
Last column: nearest neighbours and their distance in Å.
Element x y z (fractional)
1 Mg 0.0000 0.0515 0.5000  4 In 3.02-3.13, 8 Mg 3.09-3.35
2 Mg 0.5000 0.6111 0.5000  5 In 2.97-3.16, 2 Mg 3.31
3 Mg 0.5000 0.9485 0.0000  4 In 3.02-3.13, 8 Mg 3.09-3.35
4 Mg 0.0000 0.3889 0.0000  5 In 2.97-3.16, 2 Mg 3.31
5 In 0.0000 0.7398 0.0000  9 Mg 2.97-3.16
6 In 0.5000 0.2602 0.5000  9 Mg 2.97-3.16

=====

magnetization of number 2 (Mg2In)?
0.00 μB/f.u.